Record 1
Ca2PSe | PBE-GGA | relaxed

ΔE_f (raw) in meV/atom: -385
Offset from the most stable computed form in kJ/mol of atoms: 92.5

The structure in POSCAR format:
```
Ca2PSe
1.0
0.000 3.583 3.583
3.583 0.000 3.583
3.583 3.583 0.000
Ca P Se
2 1 1
Direct
0.000 0.000 0.000 Ca
0.250 0.250 0.250 Ca
0.500 0.500 0.500 P
0.750 0.750 0.750 Se
```

Record 2
Ca2ZrSi2 | PBE-GGA | relaxed

ΔE_f (raw) in meV/atom: -361

The structure in POSCAR format:
```
Ca2ZrSi2
1.0
7.171 0.000 0.000
0.000 7.171 0.000
0.000 0.000 4.611
Ca Zr Si
4 2 4
Direct
0.175 0.325 0.000 Ca
0.325 0.825 0.000 Ca
0.675 0.175 0.000 Ca
0.825 0.675 0.000 Ca
0.000 0.000 0.500 Zr
0.500 0.500 0.500 Zr
0.122 0.622 0.500 Si
0.378 0.122 0.500 Si
0.622 0.878 0.500 Si
0.878 0.378 0.500 Si
```

Record 3
ErLuIn2 | PBE-GGA | relaxed

VASP energy in eV for the cell shown: -16.22

The structure in POSCAR format:
```
ErLuIn2
1.0
3.704 0.000 0.000
0.000 3.704 0.000
0.000 0.000 7.479
Er Lu In
1 1 2
Direct
0.000 0.000 0.000 Er
0.000 0.000 0.500 Lu
0.500 0.500 0.254 In
0.500 0.500 0.746 In
```

Record 4
La2Hg3 | PBE-GGA | relaxed

Offset from the most stable computed form in kJ/mol of atoms: 2.9

The structure in POSCAR format:
```
La2Hg3
1.0
0.000 8.170 3.198
5.474 0.000 3.198
5.474 8.170 0.000
La Hg
4 6
Direct
0.133 0.867 0.260 La
0.510 0.990 0.383 La
0.867 0.133 0.740 La
0.990 0.510 0.117 La
0.141 0.141 0.859 Hg
0.391 0.391 0.109 Hg
0.465 0.572 0.306 Hg
0.572 0.465 0.657 Hg
0.593 0.944 0.678 Hg
0.944 0.593 0.785 Hg
```

Record 5
Pr2Ga2S7 | PBE-GGA | relaxed

ΔE_f (raw) in meV/atom: -1054

The structure in POSCAR format:
```
Pr2Ga2S7
1.0
4.147 -6.065 0.000
4.147 6.065 0.000
-2.536 0.000 6.102
Pr Ga S
2 2 7
Direct
0.190 0.810 0.000 Pr
0.810 0.190 0.000 Pr
0.267 0.267 0.638 Ga
0.733 0.733 0.362 Ga
0.070 0.391 0.776 S
0.185 0.185 0.264 S
0.391 0.070 0.776 S
0.500 0.500 0.500 S
0.609 0.930 0.224 S
0.815 0.815 0.736 S
0.930 0.609 0.224 S
```

Record 6
In3Sn2 | PBE-GGA | relaxed

VASP energy in eV for the cell shown: -31.86

The structure in POSCAR format:
```
In3Sn2
1.0
4.013 2.317 5.353
-4.013 2.317 5.353
0.000 -4.634 5.353
In Sn
6 4
Direct
0.005 0.750 0.495 In
0.250 0.505 0.995 In
0.495 0.005 0.750 In
0.505 0.995 0.250 In
0.750 0.495 0.005 In
0.995 0.250 0.505 In
0.097 0.097 0.097 Sn
0.403 0.403 0.403 Sn
0.597 0.597 0.597 Sn
0.903 0.903 0.903 Sn
```

Record 7
Mn3SnH | PBE-GGA | relaxed

VASP energy in eV for the cell shown: -34.86

The structure in POSCAR format:
```
Mn3SnH
1.0
3.853 0.000 0.000
0.000 3.853 0.000
0.000 0.000 3.853
Mn Sn H
3 1 1
Direct
0.000 0.000 0.500 Mn
0.000 0.500 0.000 Mn
0.500 0.000 0.000 Mn
0.500 0.500 0.500 Sn
0.000 0.000 0.000 H
```

Record 8
Li4AcHg2 | PBE-GGA | relaxed

VASP energy in eV for the cell shown: -29.06

The structure in POSCAR format:
```
Li4AcHg2
1.0
8.440 0.000 0.000
0.000 8.440 0.000
0.000 0.000 4.499
Li Ac Hg
8 2 4
Direct
0.091 0.350 0.000 Li
0.150 0.591 0.500 Li
0.350 0.091 0.000 Li
0.409 0.850 0.500 Li
0.591 0.150 0.500 Li
0.650 0.909 0.000 Li
0.850 0.409 0.500 Li
0.909 0.650 0.000 Li
0.000 0.000 0.500 Ac
0.500 0.500 0.000 Ac
0.217 0.783 0.000 Hg
0.283 0.283 0.500 Hg
0.717 0.717 0.500 Hg
0.783 0.217 0.000 Hg
```

Record 9
FeCo2H | PBE-GGA | relaxed

Offset from the most stable computed form in kJ/mol of atoms: 0.0

The structure in POSCAR format:
```
FeCo2H
1.0
1.282 0.740 6.186
-1.282 0.740 6.186
0.000 -1.480 6.186
Fe Co H
1 2 1
Direct
0.000 0.000 0.000 Fe
0.225 0.225 0.225 Co
0.775 0.775 0.775 Co
0.500 0.500 0.500 H
```

Record 10
SrLi10Tl | PBE-GGA | relaxed

VASP energy in eV for the cell shown: -23.03

The structure in POSCAR format:
```
SrLi10Tl
1.0
4.829 0.000 0.000
0.000 5.740 0.000
0.000 0.000 10.019
Sr Li Tl
1 10 1
Direct
0.000 0.000 0.000 Sr
0.000 0.000 0.356 Li
0.000 0.000 0.644 Li
0.000 0.500 0.204 Li
0.000 0.500 0.796 Li
0.500 0.000 0.500 Li
0.500 0.262 0.275 Li
0.500 0.262 0.725 Li
0.500 0.500 0.000 Li
0.500 0.738 0.275 Li
0.500 0.738 0.725 Li
0.000 0.500 0.500 Tl
```

Record 11
LiTlRe2 | PBE-GGA | relaxed

Offset from the most stable computed form in kJ/mol of atoms: 28.9

The structure in POSCAR format:
```
LiTlRe2
1.0
4.876 -1.566 0.000
4.876 1.566 0.000
-0.892 0.000 4.319
Li Tl Re
1 1 2
Direct
0.000 0.000 0.000 Li
0.500 0.500 0.500 Tl
0.250 0.250 0.780 Re
0.750 0.750 0.220 Re
```

Record 12
La3CdIn | PBE-GGA | relaxed

Offset from the most stable computed form in kJ/mol of atoms: 0.0

The structure in POSCAR format:
```
La3CdIn
1.0
2.817 -10.047 0.000
2.817 10.047 0.000
0.000 0.000 5.624
La Cd In
6 2 2
Direct
0.055 0.945 0.750 La
0.248 0.752 0.750 La
0.436 0.564 0.750 La
0.564 0.436 0.250 La
0.752 0.248 0.250 La
0.945 0.055 0.250 La
0.350 0.650 0.250 Cd
0.650 0.350 0.750 Cd
0.152 0.848 0.250 In
0.848 0.152 0.750 In
```

Record 13
Tm11Tl9Pd4 | PBE-GGA | relaxed

VASP energy in eV for the cell shown: -104.31

The structure in POSCAR format:
```
Tm11Tl9Pd4
1.0
7.305 -10.983 0.000
7.305 10.983 0.000
0.000 0.000 3.666
Tm Tl Pd
11 9 4
Direct
0.000 0.000 0.000 Tm
0.077 0.415 0.000 Tm
0.161 0.839 0.000 Tm
0.308 0.308 0.000 Tm
0.372 0.628 0.000 Tm
0.415 0.077 0.000 Tm
0.585 0.923 0.000 Tm
0.628 0.372 0.000 Tm
0.692 0.692 0.000 Tm
0.839 0.161 0.000 Tm
0.923 0.585 0.000 Tm
0.067 0.215 0.500 Tl
0.151 0.631 0.500 Tl
0.215 0.067 0.500 Tl
0.369 0.849 0.500 Tl
0.500 0.500 0.500 Tl
0.631 0.151 0.500 Tl
0.785 0.933 0.500 Tl
0.849 0.369 0.500 Tl
0.933 0.785 0.500 Tl
0.248 0.449 0.500 Pd
0.449 0.248 0.500 Pd
0.551 0.752 0.500 Pd
0.752 0.551 0.500 Pd
```

Record 14
Zr2ScAs3 | PBE-GGA | relaxed

VASP energy in eV for the cell shown: -88.73

The structure in POSCAR format:
```
Zr2ScAs3
1.0
7.381 -1.927 0.000
7.381 1.927 0.000
-2.850 0.000 8.935
Zr Sc As
4 2 6
Direct
0.169 0.169 0.338 Zr
0.331 0.331 0.162 Zr
0.669 0.669 0.838 Zr
0.831 0.831 0.662 Zr
0.000 0.000 0.500 Sc
0.500 0.500 0.000 Sc
0.028 0.028 0.805 As
0.307 0.307 0.860 As
0.362 0.362 0.472 As
0.638 0.638 0.528 As
0.693 0.693 0.140 As
0.972 0.972 0.195 As
```

Record 15
TiPF3 | PBE-GGA | relaxed

ΔE_f (raw) in meV/atom: -1670
Offset from the most stable computed form in kJ/mol of atoms: 0.0

The structure in POSCAR format:
```
TiPF3
1.0
4.120 0.000 0.000
0.000 4.120 0.000
0.000 0.000 4.120
Ti P F
1 1 3
Direct
0.000 0.000 0.000 Ti
0.500 0.500 0.500 P
0.000 0.000 0.500 F
0.000 0.500 0.000 F
0.500 0.000 0.000 F
```

Record 16
PmEuNiPb | PBE-GGA | relaxed

VASP energy in eV for the cell shown: -25.39

The structure in POSCAR format:
```
PmEuNiPb
1.0
0.000 3.766 3.766
3.766 0.000 3.766
3.766 3.766 0.000
Pm Eu Ni Pb
1 1 1 1
Direct
0.000 0.000 0.000 Pm
0.500 0.500 0.500 Eu
0.750 0.750 0.750 Ni
0.250 0.250 0.250 Pb
```

Record 17
Y2TmTe | PBE-GGA | relaxed

ΔE_f (raw) in meV/atom: -564
Offset from the most stable computed form in kJ/mol of atoms: 9.4

The structure in POSCAR format:
```
Y2TmTe
1.0
3.878 0.000 0.000
0.000 3.878 0.000
0.000 0.000 7.738
Y Tm Te
2 1 1
Direct
0.000 0.000 0.228 Y
0.000 0.000 0.772 Y
0.500 0.500 0.500 Tm
0.500 0.500 0.000 Te
```

Record 18
Cs2Sn3Au2 | PBE-GGA | relaxed

VASP energy in eV for the cell shown: -21.97

The structure in POSCAR format:
```
Cs2Sn3Au2
1.0
7.066 -2.300 0.000
7.066 2.300 0.000
-5.636 0.000 7.358
Cs Sn Au
2 3 2
Direct
0.140 0.140 0.271 Cs
0.860 0.860 0.729 Cs
0.353 0.353 0.063 Sn
0.500 0.500 0.500 Sn
0.647 0.647 0.937 Sn
0.125 0.125 0.723 Au
0.875 0.875 0.277 Au
```

Record 19
Li2Ce3Se6 | PBE-GGA | relaxed

ΔE_f (raw) in meV/atom: -1615
Offset from the most stable computed form in kJ/mol of atoms: 0.0

The structure in POSCAR format:
```
Li2Ce3Se6
1.0
3.684 -6.382 0.000
3.684 6.382 0.000
-2.433 0.000 6.376
Li Ce Se
2 3 6
Direct
0.169 0.831 0.000 Li
0.831 0.169 0.000 Li
0.000 0.000 0.500 Ce
0.336 0.664 0.500 Ce
0.664 0.336 0.500 Ce
0.075 0.416 0.749 Se
0.243 0.243 0.247 Se
0.416 0.075 0.749 Se
0.584 0.925 0.251 Se
0.757 0.757 0.753 Se
0.925 0.584 0.251 Se
```

Record 20
Ca2ZrTlN | PBE-GGA | relaxed

ΔE_f (raw) in meV/atom: -641

The structure in POSCAR format:
```
Ca2ZrTlN
1.0
4.888 0.000 0.000
0.000 4.888 0.000
0.000 0.000 4.535
Ca Zr Tl N
2 1 1 1
Direct
0.000 0.500 0.000 Ca
0.500 0.000 0.000 Ca
0.000 0.000 0.500 Zr
0.500 0.500 0.500 Tl
0.000 0.000 0.000 N
```

Record 21
Li2CrCu | PBE-GGA | relaxed

Offset from the most stable computed form in kJ/mol of atoms: 4.5

The structure in POSCAR format:
```
Li2CrCu
1.0
3.154 0.000 0.000
0.000 3.116 0.000
-0.016 0.000 6.125
Li Cr Cu
2 1 1
Direct
0.000 0.000 0.000 Li
0.499 0.500 0.269 Li
0.499 0.500 0.720 Cr
0.998 0.000 0.501 Cu
```

Record 22
TaVRh6 | PBE-GGA | relaxed

Offset from the most stable computed form in kJ/mol of atoms: 0.0

The structure in POSCAR format:
```
TaVRh6
1.0
5.463 0.000 0.000
0.000 5.463 0.000
0.000 0.000 3.845
Ta V Rh
1 1 6
Direct
0.000 0.000 0.000 Ta
0.500 0.500 0.000 V
0.000 0.500 0.000 Rh
0.255 0.255 0.500 Rh
0.255 0.745 0.500 Rh
0.500 0.000 0.000 Rh
0.745 0.255 0.500 Rh
0.745 0.745 0.500 Rh
```

Record 23
MnIn2Cl | PBE-GGA | relaxed

ΔE_f (raw) in meV/atom: -23
Offset from the most stable computed form in kJ/mol of atoms: 10.8

The structure in POSCAR format:
```
MnIn2Cl
1.0
3.325 0.000 0.000
0.000 3.325 0.000
0.000 0.000 7.833
Mn In Cl
1 2 1
Direct
0.000 0.000 0.000 Mn
0.500 0.500 0.214 In
0.500 0.500 0.786 In
0.000 0.000 0.500 Cl
```

Record 24
TmAl3Cu2 | PBE-GGA | relaxed

VASP energy in eV for the cell shown: -78.59

The structure in POSCAR format:
```
TmAl3Cu2
1.0
8.101 -1.995 0.000
8.101 1.995 0.000
-2.764 0.000 9.393
Tm Al Cu
3 9 6
Direct
0.000 0.000 0.000 Tm
0.156 0.156 0.701 Tm
0.844 0.844 0.299 Tm
0.045 0.045 0.346 Al
0.216 0.216 0.390 Al
0.329 0.329 0.037 Al
0.374 0.374 0.800 Al
0.500 0.500 0.500 Al
0.626 0.626 0.200 Al
0.671 0.671 0.963 Al
0.784 0.784 0.610 Al
0.955 0.955 0.654 Al
0.200 0.200 0.128 Cu
0.360 0.360 0.542 Cu
0.472 0.472 0.221 Cu
0.528 0.528 0.779 Cu
0.640 0.640 0.458 Cu
0.800 0.800 0.872 Cu
```